Computed, not measured: a relaxed structure of CaBeAl at the PBE-GGA level of DFT.

a = 4.5003 Å, b = 4.5003 Å, c = 4.5003 Å
α = 60.00°, β = 60.00°, γ = 60.00°
Last column: nearest neighbours and their distance in Å.
Element x y z (fractional)
Ca: 0.0000 0.0000 0.0000  4 Be 2.76
Be: 0.7500 0.7500 0.7500  4 Ca 2.76, 4 Al 2.76
Al: 0.5000 0.5000 0.5000  4 Be 2.76

- E_tot: -2.947 eV/atom
- Energy relative to the elements: 60.9 kJ/mol of formula units
- Space group: F-43m
- Magnetic moment: 0.017 μB/f.u.
- E above lowest polymorph: 0.196 eV per atom

***

Computed, not measured: a relaxed structure of CaBe2Al2 at the PBE-GGA level of DFT.

a = 7.5512 Å, b = 7.5512 Å, c = 2.7159 Å
α = 90.00°, β = 90.00°, γ = 90.00°
Last column: nearest neighbours and their distance in Å.
Element x y z (fractional)
Ca: 0.0000 0.0000 0.0000  2 Ca 2.72, 4 Be 2.91
Ca: 0.5000 0.5000 0.0000  2 Ca 2.72, 4 Be 2.91
Be: 0.1420 0.3580 0.0000  6 Al 2.56-2.64, 2 Be 2.72
Be: 0.3580 0.8580 0.0000  6 Al 2.56-2.64, 2 Be 2.72
Be: 0.6420 0.1420 0.0000  6 Al 2.56-2.64, 2 Be 2.72
Be: 0.8580 0.6420 0.0000  6 Al 2.56-2.64, 2 Be 2.72
Al: 0.1459 0.6459 0.5000  6 Be 2.56-2.64, 2 Al 2.72
Al: 0.3541 0.1459 0.5000  6 Be 2.56-2.64, 2 Al 2.72
Al: 0.6459 0.8541 0.5000  6 Be 2.56-2.64, 2 Al 2.72
Al: 0.8541 0.3541 0.5000  6 Be 2.56-2.64, 2 Al 2.72

- E_tot: -3.206 eV/atom
- Energy relative to the elements: 87.6 kJ/mol of formula units
- Space group: P4/mbm
- Magnetic moment: 0.000 μB/f.u.
- E above lowest polymorph: 0.161 eV per atom

***

Computed, not measured: a relaxed structure of Ca4BeAl at the PBE-GGA level of DFT.

a = 6.5365 Å, b = 6.5365 Å, c = 6.5365 Å
α = 60.00°, β = 60.00°, γ = 60.00°
Last column: nearest neighbours and their distance in Å.
Element x y z (fractional)
Ca: 0.1248 0.1248 0.1248  6 Ca 3.26-3.27
Ca: 0.1248 0.1248 0.6256  6 Ca 3.26-3.27
Ca: 0.1248 0.6256 0.1248  6 Ca 3.26-3.27
Ca: 0.6256 0.1248 0.1248  6 Ca 3.26-3.27
Be: 0.5000 0.5000 0.5000  12 Ca 3.83, 4 Al 4.00
Al: 0.7500 0.7500 0.7500  12 Ca 3.83, 4 Be 4.00

- E_tot: -1.802 eV/atom
- Energy relative to the elements: 450.2 kJ/mol of formula units
- Space group: F-43m
- Magnetic moment: 0.001 μB/f.u.

***

Computed, not measured: a relaxed structure of CaBeAl2Cd at the PBE-GGA level of DFT.

a = 5.6932 Å, b = 5.6932 Å, c = 5.1589 Å
α = 90.00°, β = 90.00°, γ = 90.00°
Last column: nearest neighbours and their distance in Å.
Element x y z (fractional)
Ca: 0.0000 0.0000 0.0000  2 Be 2.58, 4 Al 2.85
Be: 0.0000 0.0000 0.5000  2 Ca 2.58
Al: 0.0000 0.5000 0.0000  2 Ca 2.85
Al: 0.5000 0.0000 0.0000  2 Ca 2.85
Cd: 0.5000 0.5000 0.5000  8 Al 3.84, 4 Be 4.03

- E_tot: -1.447 eV/atom
- Energy relative to the elements: 664.9 kJ/mol of formula units
- Space group: P4/mmm
- Magnetic moment: 0.000 μB/f.u.

***

Computed, not measured: a relaxed structure of Ca2BeAlCu6 at the PBE-GGA level of DFT.

a = 6.2801 Å, b = 6.2801 Å, c = 6.2801 Å
α = 60.00°, β = 60.00°, γ = 60.00°
Last column: nearest neighbours and their distance in Å.
Element x y z (fractional)
Ca: 0.2500 0.2500 0.2500  12 Cu 3.14
Ca: 0.7500 0.7500 0.7500  12 Cu 3.14
Be: 0.0000 0.0000 0.0000  6 Cu 2.07
Al: 0.5000 0.5000 0.5000  6 Cu 2.38
Cu: 0.2325 0.2325 0.7675  1 Be 2.07
Cu: 0.2325 0.7675 0.2325  1 Be 2.07
Cu: 0.2325 0.7675 0.7675  1 Be 2.07
Cu: 0.7675 0.2325 0.2325  1 Be 2.07
Cu: 0.7675 0.2325 0.7675  1 Be 2.07
Cu: 0.7675 0.7675 0.2325  1 Be 2.07

- E_tot: -3.546 eV/atom
- Energy relative to the elements: 56.7 kJ/mol of formula units
- Space group: Fm-3m
- Magnetic moment: 0.000 μB/f.u.

***

Computed, not measured: a relaxed structure of CaBe2AlCu at the PBE-GGA level of DFT.

a = 4.3320 Å, b = 4.3320 Å, c = 4.9911 Å
α = 90.00°, β = 90.00°, γ = 90.00°
Last column: nearest neighbours and their distance in Å.
Element x y z (fractional)
Ca: 0.0000 0.0000 0.0000  2 Cu 2.50
Be: 0.0000 0.5000 0.5000  2 Cu 2.17
Be: 0.5000 0.0000 0.5000  2 Cu 2.17
Al: 0.5000 0.5000 0.0000  4 Ca 3.06, 8 Be 3.30
Cu: 0.0000 0.0000 0.5000  4 Be 2.17

- E_tot: -2.902 eV/atom
- Energy relative to the elements: 268.3 kJ/mol of formula units
- Space group: P4/mmm
- Magnetic moment: 0.000 μB/f.u.

***

Computed, not measured: a relaxed structure of Ca2BeAlIr2 at the PBE-GGA level of DFT.

a = 8.0434 Å, b = 8.0434 Å, c = 8.0434 Å
α = 138.29°, β = 60.85°, γ = 137.79°
Last column: nearest neighbours and their distance in Å.
Element x y z (fractional)
Ca: 0.1716 0.2422 0.4138  5 Ir 2.97-3.24, 2 Al 3.11, 2 Be 3.15
Ca: 0.3284 0.7422 0.0706  5 Ir 2.97-3.24, 2 Al 3.11, 2 Be 3.15
Ca: 0.6716 0.2578 0.9294  5 Ir 2.97-3.24, 2 Al 3.11, 2 Be 3.15
Ca: 0.8284 0.7578 0.5862  5 Ir 2.97-3.24, 2 Al 3.11, 2 Be 3.15
Be: 0.2500 0.7500 0.5000  4 Ir 2.35
Be: 0.7500 0.2500 0.5000  4 Ir 2.35
Al: 0.2500 0.2500 0.0000  4 Ir 2.50
Al: 0.7500 0.7500 0.0000  4 Ir 2.50
Ir: 0.0946 0.7268 0.8214  2 Be 2.35, 2 Al 2.50
Ir: 0.4054 0.2268 0.6322  2 Be 2.35, 2 Al 2.50
Ir: 0.5946 0.7732 0.3678  2 Be 2.35, 2 Al 2.50
Ir: 0.9054 0.2732 0.1786  2 Be 2.35, 2 Al 2.50

- E_tot: -5.388 eV/atom
- Energy relative to the elements: -302.6 kJ/mol of formula units
- Space group: Ibam
- Magnetic moment: 0.000 μB/f.u.

***

Computed, not measured: a relaxed structure of CaBe2AlIr at the PBE-GGA level of DFT.

a = 4.4015 Å, b = 4.4015 Å, c = 5.2821 Å
α = 90.00°, β = 90.00°, γ = 90.00°
Last column: nearest neighbours and their distance in Å.
Element x y z (fractional)
Ca: 0.0000 0.0000 0.0000  2 Ir 2.64
Be: 0.0000 0.5000 0.5000  2 Ir 2.20
Be: 0.5000 0.0000 0.5000  2 Ir 2.20
Al: 0.5000 0.5000 0.0000  4 Ca 3.11, 8 Be 3.44
Ir: 0.0000 0.0000 0.5000  4 Be 2.20

- E_tot: -4.058 eV/atom
- Energy relative to the elements: 170.7 kJ/mol of formula units
- Space group: P4/mmm
- Magnetic moment: 0.000 μB/f.u.